No. 1
DFT (PBE) results for crystalline Nd7Dy12Cd at its relaxed geometry.

Computed properties:
Formation enthalpy at 0 K ... 0.184 eV per atom
Crystal system ... trigonal

Cell lengths 8.7628, 8.7628, 8.7628 Å; angles 89.29, 89.29, 89.29 degrees
Element x y z (fractional)
1 Nd 0.0000 0.0000 0.0000
2 Nd 0.1200 0.7135 0.2685
3 Nd 0.2685 0.1200 0.7135
4 Nd 0.2865 0.7315 0.8800
5 Nd 0.7135 0.2685 0.1200
6 Nd 0.7315 0.8800 0.2865
7 Nd 0.8800 0.2865 0.7315
8 Dy 0.0373 0.1599 0.3775
9 Dy 0.1599 0.3775 0.0373
10 Dy 0.1690 0.4941 0.6086
11 Dy 0.3775 0.0373 0.1599
12 Dy 0.3914 0.8310 0.5059
13 Dy 0.4941 0.6086 0.1690
14 Dy 0.5059 0.3914 0.8310
15 Dy 0.6086 0.1690 0.4941
16 Dy 0.6225 0.9627 0.8401
17 Dy 0.8310 0.5059 0.3914
18 Dy 0.8401 0.6225 0.9627
19 Dy 0.9627 0.8401 0.6225
20 Cd 0.5000 0.5000 0.5000

***

No. 2
DFT (PBE) results for crystalline Nd3DyCd at its relaxed geometry.

Computed properties:
Formation enthalpy at 0 K ... -0.103 eV per atom
Crystal system ... monoclinic

Cell lengths 10.0783, 10.0783, 8.7807 Å; angles 103.36, 103.36, 21.53 degrees
Element x y z (fractional)
1 Nd 0.0048 0.0048 0.2846
2 Nd 0.1870 0.1870 0.3770
3 Nd 0.4017 0.4017 0.9646
4 Nd 0.5983 0.5983 0.0354
5 Nd 0.8130 0.8130 0.6230
6 Nd 0.9952 0.9952 0.7154
7 Dy 0.2053 0.2053 0.8313
8 Dy 0.7947 0.7947 0.1687
9 Cd 0.3957 0.3957 0.4178
10 Cd 0.6043 0.6043 0.5822

***

No. 3
DFT (PBE) results for crystalline NdDyCd3 at its relaxed geometry.

Computed properties:
Formation enthalpy at 0 K ... -0.307 eV per atom
Crystal system ... orthorhombic

Cell lengths 15.0076, 15.0076, 5.0183 Å; angles 90.00, 90.00, 166.56 degrees
Element x y z (fractional)
1 Nd 0.0750 0.9250 0.7500
2 Nd 0.9250 0.0750 0.2500
3 Dy 0.2148 0.7852 0.2500
4 Dy 0.7852 0.2148 0.7500
5 Cd 0.3229 0.6771 0.2500
6 Cd 0.3773 0.6227 0.7500
7 Cd 0.4759 0.5241 0.7500
8 Cd 0.5241 0.4759 0.2500
9 Cd 0.6227 0.3773 0.2500
10 Cd 0.6771 0.3229 0.7500

***

No. 4
DFT (PBE) results for crystalline Nd2Dy6Cd at its relaxed geometry.

Computed properties:
Formation enthalpy at 0 K ... 0.014 eV per atom
Crystal system ... monoclinic

Cell lengths 5.4872, 9.8946, 11.6650 Å; angles 90.00, 118.00, 90.00 degrees
Element x y z (fractional)
1 Nd 0.2426 0.1936 0.2423
2 Nd 0.2426 0.3064 0.7423
3 Nd 0.7574 0.6936 0.2577
4 Nd 0.7574 0.8064 0.7577
5 Dy 0.1072 0.6372 0.6074
6 Dy 0.1072 0.8628 0.1074
7 Dy 0.1798 0.5202 0.1797
8 Dy 0.1798 0.9798 0.6797
9 Dy 0.4316 0.6796 0.9321
10 Dy 0.4316 0.8204 0.4321
11 Dy 0.5684 0.1796 0.5679
12 Dy 0.5684 0.3204 0.0679
13 Dy 0.8202 0.0202 0.3203
14 Dy 0.8202 0.4798 0.8203
15 Dy 0.8928 0.1372 0.8926
16 Dy 0.8928 0.3628 0.3926
17 Cd 0.5000 0.0000 0.0000
18 Cd 0.5000 0.5000 0.5000